A plane-wave DFT calculation with GGA-PBEsol was carried out for an optimized crystal structure of Ta3Sb.

Calculated values
total DFT energy (no corrections)	-42.43	eV per formula unit
space group	P4/mmm (123)
ΔE_f (raw)	-0.0546	eV/atom

Lattice parameters (Å, degrees): 3.5099 3.5099 5.9627 90.00 90.00 90.00
Element x y z (fractional)
Ta (0.0000, 0.0000, 0.0000)
Ta (0.5000, 0.5000, 0.2427)
Ta (0.5000, 0.5000, 0.7573)
Sb (0.0000, 0.0000, 0.5000)

=====

A plane-wave DFT calculation with GGA-PBEsol was carried out for an optimized crystal structure of Ta4Sb.

Calculated values
total DFT energy (no corrections)	-54.92	eV per formula unit
space group	I4/m (87)
ΔE_f (raw)	-0.0316	eV/atom

Lattice parameters (Å, degrees): 5.4174 5.4174 5.4174 95.85 95.85 142.78
Element x y z (fractional)
Ta (0.1025, 0.6909, 0.7934)
Ta (0.3091, 0.1025, 0.4116)
Ta (0.6909, 0.8975, 0.5884)
Ta (0.8975, 0.3091, 0.2066)
Sb (0.5000, 0.5000, 0.0000)

=====

A plane-wave DFT calculation with GGA-PBEsol was carried out for an optimized crystal structure of TaSb3.

Calculated values
total DFT energy (no corrections)	-24.25	eV per formula unit
space group	R-3m (166)
ΔE_f (raw)	0.4928	eV/atom

Lattice parameters (Å, degrees): 5.8548 5.8548 5.8548 116.84 116.84 116.84
Element x y z (fractional)
Ta (0.0000, 0.0000, 0.0000)
Sb (0.0000, 0.5000, 0.5000)
Sb (0.5000, 0.0000, 0.5000)
Sb (0.5000, 0.5000, 0.0000)